No. 1
Ca5Ga6O14 at its PBEsol-relaxed geometry. Source: Alexandria via LeMat-Bulk, functional SCAN.

extended XYZ file:
```
50
Lattice="8.036 0.000 0.000 -0.156 8.034 0.000 0.000 0.000 10.460" Properties=species:S:1:pos:R:3 pbc="T T T"
Ca 1.929 7.562 7.845
Ca 5.950 0.473 2.615
Ca 0.357 5.958 2.615
Ca 7.523 2.076 7.845
Ca 5.259 7.699 8.350
Ca 2.620 0.335 3.120
Ca 0.284 2.626 3.120
Ca 7.595 5.408 8.350
Ca 4.159 4.241 7.868
Ca 3.720 3.794 2.638
Ga 3.974 1.701 10.358
Ga 3.906 6.333 5.128
Ga 1.623 4.006 10.358
Ga 6.256 4.028 5.128
Ga 2.371 2.418 5.828
Ga 5.508 5.616 0.598
Ga 0.006 0.006 5.565
Ga 7.874 8.029 0.335
Ga 5.175 1.277 5.455
Ga 2.705 6.757 0.225
Ga 6.703 2.836 0.225
Ga 1.176 5.199 5.455
O 5.520 5.629 9.237
O 2.359 2.406 4.007
O 1.944 4.033 6.622
O 5.935 4.001 1.392
O 3.885 6.012 1.392
O 3.994 2.022 6.622
O 7.783 7.936 8.993
O 0.096 0.098 3.763
O 6.434 3.926 6.938
O 1.445 4.109 1.708
O 4.080 1.525 1.708
O 3.799 6.510 6.938
O 6.721 6.854 1.268
O 1.158 1.181 6.498
O 0.354 6.491 6.487
O 7.525 1.543 1.257
O 1.396 7.554 1.257
O 6.483 0.481 6.487
O 6.098 2.348 4.244
O 1.781 5.686 9.474
O 5.650 1.892 9.474
O 2.229 6.143 4.244
O 4.382 7.965 4.334
O 3.497 0.069 9.564
O 0.001 3.498 9.564
O 7.878 4.537 4.334
O 4.806 4.900 4.442
O 3.074 3.134 9.672
```

Computed properties:
Raw formation energy   -2.5898 eV per atom
Symmetry   No. 36
Size of the total moment   0.00 μB/atom
Density of states at the Fermi level   0.0000 states/eV per atom
DFT total energy   -11.935 eV per atom

No. 2
YFeCl2 at its PBEsol-relaxed geometry. Source: Alexandria via LeMat-Bulk, functional SCAN.

extended XYZ file:
```
4
Lattice="-0.155 -3.305 0.634 2.305 0.377 2.530 -6.659 1.003 3.598" Properties=species:S:1:pos:R:3 pbc="T T T"
Y -4.717 -0.923 2.983
Fe -2.131 0.626 2.739
Cl -6.120 1.051 3.978
Cl -0.377 -0.985 3.724
```

Computed properties:
Relative energy among the computed polymorphs   0.0 meV/atom
Raw formation energy   -1.0622 eV per atom
Symmetry   No. 6
Size of the total moment   0.75 μB/atom
Density of states at the Fermi level   0.1504 states/eV per atom
DFT total energy   -16.544 eV per atom